## Ce2ZrCrN5 (PBE)

Data for a relaxed structure of Ce2ZrCrN5.

Values from the calculation:
**Energy**: -9.192 eV/atom

Cell and atoms, written as CIF:
```
data_Ce2ZrCrN5
_chemical_formula_sum 'Ce8 Zr4 Cr4 N20'
_symmetry_space_group_name_H-M 'C m c 21'
_symmetry_Int_Tables_number 36
_symmetry_space_group_name_Hall 'C 2c -2'
_cell_length_a 3.341
_cell_length_b 13.385
_cell_length_c 10.217
_cell_angle_alpha 90.00
_cell_angle_beta 90.00
_cell_angle_gamma 90.00
loop_
_atom_site_label
_atom_site_type_symbol
_atom_site_fract_x
_atom_site_fract_y
_atom_site_fract_z
_atom_site_occupancy
Ce1 Ce 0.000 0.113 0.000 1
Ce2 Ce 0.000 0.142 0.613 1
Zr1 Zr 0.000 0.208 0.317 1
Cr1 Cr 0.000 0.482 0.771 1
N1 N 0.000 0.038 0.345 1
N2 N 0.000 0.286 0.969 1
N3 N 0.000 0.321 0.678 1
N4 N 0.000 0.369 0.309 1
N5 N 0.000 0.489 0.097 1
```